# Al2GaPd6

A relaxed structure of Al2GaPd6 (PBE-GGA, Alexandria via LeMat-Bulk).

a b c (Å): 4.1571 8.0111 8.0117
angles (deg): 90.00 90.00 90.00
Fractional coordinates of all 18 atoms:
Al1 0.0000 0.2978 0.7977
Al2 0.5000 0.7978 0.7023
Al3 0.5000 0.2022 0.2977
Al4 0.0000 0.7022 0.2023
Ga1 0.5000 0.5000 0.0000
Ga2 0.0000 0.0000 0.5000
Pd1 0.0000 0.0256 0.1785
Pd2 0.0000 0.6784 0.5257
Pd3 0.0000 0.6278 0.8723
Pd4 0.5000 0.1278 0.6277
Pd5 0.5000 0.1784 0.9743
Pd6 0.5000 0.5256 0.3216
Pd7 0.0000 0.9744 0.8215
Pd8 0.0000 0.3216 0.4743
Pd9 0.0000 0.3722 0.1277
Pd10 0.5000 0.8722 0.3723
Pd11 0.5000 0.8216 0.0257
Pd12 0.5000 0.4744 0.6784

Properties
- SG: No. 136
- Total DFT energy (no corrections): -5.340 eV per atom
- Energy relative to the elements: -0.710 eV per atom